(1)
# HoCdTc, optimized geometry, DFT PBE
# Energy relative to the elements (meV/atom): -29
# Calculated density (g/cm3): 9.00
data_HoCdTc
_chemical_formula_sum 'Ho4 Cd4 Tc4'
_cell_length_a 12.9789
_cell_length_b 4.1866
_cell_length_c 5.2235
_cell_angle_alpha 90.00
_cell_angle_beta 102.61
_cell_angle_gamma 90.00
_symmetry_space_group_name_H-M 'C 1 2/m 1'
_symmetry_Int_Tables_number 12
loop_
_symmetry_equiv_pos_as_xyz
'x,y,z'
'-x,-y,-z'
'-x,y,-z'
'x,-y,z'
'x+1/2,y+1/2,z'
'-x+1/2,-y+1/2,-z'
'-x+1/2,y+1/2,-z'
'x+1/2,-y+1/2,z'
loop_
_atom_site_label
_atom_site_type_symbol
_atom_site_fract_x
_atom_site_fract_y
_atom_site_fract_z
_atom_site_occupancy
Ho1 Ho 0.1301 0.0000 0.3232 1
Cd1 Cd 0.0672 0.5000 0.7814 1
Tc1 Tc 0.2251 0.0000 0.8889 1



(2)
# Ho6Cd2Tc, optimized geometry, DFT PBE
# Energy relative to the elements (meV/atom): -158
# Offset from the most stable computed form (meV/atom): 0
# Calculated density (g/cm3): 8.93
data_Ho6Cd2Tc
_chemical_formula_sum 'Ho6 Cd2 Tc1'
_cell_length_a 8.4363
_cell_length_b 8.4363
_cell_length_c 3.9599
_cell_angle_alpha 90.00
_cell_angle_beta 90.00
_cell_angle_gamma 120.00
_symmetry_space_group_name_H-M 'P -6 2 m'
_symmetry_Int_Tables_number 189
_symmetry_space_group_name_Hall 'P -6 -2'
loop_
_atom_site_label
_atom_site_type_symbol
_atom_site_fract_x
_atom_site_fract_y
_atom_site_fract_z
_atom_site_occupancy
Ho1 Ho 0.0000 0.2415 0.0000 1
Ho2 Ho 0.0000 0.6101 0.5000 1
Cd1 Cd 0.3333 0.6667 0.0000 1
Tc1 Tc 0.0000 0.0000 0.5000 1



(3)
# HoThCdTc, optimized geometry, DFT PBE
# Energy relative to the elements (meV/atom): -52
# Calculated density (g/cm3): 10.50
data_HoThCdTc
_chemical_formula_sum 'Ho4 Th4 Cd4 Tc4'
_cell_length_a 7.2689
_cell_length_b 7.2689
_cell_length_c 7.2689
_cell_angle_alpha 90.00
_cell_angle_beta 90.00
_cell_angle_gamma 90.00
_symmetry_space_group_name_H-M 'F -4 3 m'
_symmetry_Int_Tables_number 216
_symmetry_space_group_name_Hall 'F -4 2 3'
loop_
_atom_site_label
_atom_site_type_symbol
_atom_site_fract_x
_atom_site_fract_y
_atom_site_fract_z
_atom_site_occupancy
Ho1 Ho 0.0000 0.0000 0.0000 1
Th1 Th 0.0000 0.0000 0.5000 1
Cd1 Cd 0.2500 0.2500 0.2500 1
Tc1 Tc 0.2500 0.2500 0.7500 1



(4)
# HoTmCdTc, optimized geometry, DFT PBE
# Energy relative to the elements (meV/atom): -121
# Calculated density (g/cm3): 10.24
data_HoTmCdTc
_chemical_formula_sum 'Ho4 Tm4 Cd4 Tc4'
_cell_length_a 7.0676
_cell_length_b 7.0676
_cell_length_c 7.0676
_cell_angle_alpha 90.00
_cell_angle_beta 90.00
_cell_angle_gamma 90.00
_symmetry_space_group_name_H-M 'F -4 3 m'
_symmetry_Int_Tables_number 216
_symmetry_space_group_name_Hall 'F -4 2 3'
loop_
_atom_site_label
_atom_site_type_symbol
_atom_site_fract_x
_atom_site_fract_y
_atom_site_fract_z
_atom_site_occupancy
Ho1 Ho 0.0000 0.0000 0.0000 1
Tm1 Tm 0.0000 0.0000 0.5000 1
Cd1 Cd 0.2500 0.2500 0.7500 1
Tc1 Tc 0.2500 0.2500 0.2500 1



(5)
# HoCdTe, optimized geometry, DFT PBE
# Energy relative to the elements, uncorrected (kJ/mol of formula units): -221
# Calculated density (g/cm3): 6.85
data_HoCdTe
_chemical_formula_sum 'Ho6 Cd6 Te6'
_cell_length_a 4.8054
_cell_length_b 4.8054
_cell_length_c 29.4383
_cell_angle_alpha 90.00
_cell_angle_beta 90.00
_cell_angle_gamma 120.00
_symmetry_space_group_name_H-M 'R -3 m'
_symmetry_Int_Tables_number 166
_symmetry_space_group_name_Hall '-R 3 2"'
loop_
_atom_site_label
_atom_site_type_symbol
_atom_site_fract_x
_atom_site_fract_y
_atom_site_fract_z
_atom_site_occupancy
Ho1 Ho 0.0000 0.0000 0.0636 1
Cd1 Cd 0.0000 0.0000 0.3298 1
Te1 Te 0.0000 0.0000 0.2250 1



(6)
# Ho3CdTe6, optimized geometry, DFT PBE
# Energy relative to the elements, uncorrected (kJ/mol of formula units): -1003
# Calculated density (g/cm3): 7.00
data_Ho3CdTe6
_chemical_formula_sum 'Ho12 Cd4 Te24'
_cell_length_a 12.1081
_cell_length_b 14.3230
_cell_length_c 7.5090
_cell_angle_alpha 90.00
_cell_angle_beta 90.00
_cell_angle_gamma 90.00
_symmetry_space_group_name_H-M 'C m c 21'
_symmetry_Int_Tables_number 36
loop_
_symmetry_equiv_pos_as_xyz
'x,y,z'
'-x,-y,z+1/2'
'-x,y,z'
'x,-y,z+1/2'
'x+1/2,y+1/2,z'
'-x+1/2,-y+1/2,z+1/2'
'-x+1/2,y+1/2,z'
'x+1/2,-y+1/2,z+1/2'
loop_
_atom_site_label
_atom_site_type_symbol
_atom_site_fract_x
_atom_site_fract_y
_atom_site_fract_z
_atom_site_occupancy
Ho1 Ho 0.0000 0.0955 0.0000 1
Ho2 Ho 0.1769 0.4038 0.1025 1
Cd1 Cd 0.0000 0.2841 0.6281 1
Te1 Te 0.0000 0.2715 0.2560 1
Te2 Te 0.0000 0.4645 0.8040 1
Te3 Te 0.1649 0.0403 0.2991 1
Te4 Te 0.1821 0.2234 0.8410 1



(7)
# Ho5CdTe2, optimized geometry, DFT PBE
# Energy relative to the elements, uncorrected (kJ/mol of formula units): -357
# Calculated density (g/cm3): 8.07
data_Ho5CdTe2
_chemical_formula_sum 'Ho20 Cd4 Te8'
_cell_length_a 5.9269
_cell_length_b 12.6212
_cell_length_c 13.1202
_cell_angle_alpha 90.00
_cell_angle_beta 90.00
_cell_angle_gamma 90.00
_symmetry_space_group_name_H-M 'C m c m'
_symmetry_Int_Tables_number 63
_symmetry_space_group_name_Hall '-C 2c 2'
loop_
_atom_site_label
_atom_site_type_symbol
_atom_site_fract_x
_atom_site_fract_y
_atom_site_fract_z
_atom_site_occupancy
Ho1 Ho 0.0000 0.0527 0.1133 1
Ho2 Ho 0.0000 0.3831 0.0526 1
Ho3 Ho 0.0000 0.3835 0.7500 1
Cd1 Cd 0.0000 0.2590 0.2500 1
Te1 Te 0.0000 0.1885 0.5923 1



(8)
# Ho8CdTe2, optimized geometry, DFT PBE
# Energy relative to the elements, uncorrected (kJ/mol of formula units): -399
# Calculated density (g/cm3): 8.61
data_Ho8CdTe2
_chemical_formula_sum 'Ho16 Cd2 Te4'
_cell_length_a 16.1075
_cell_length_b 6.5285
_cell_length_c 6.1907
_cell_angle_alpha 90.00
_cell_angle_beta 91.88
_cell_angle_gamma 90.00
_symmetry_space_group_name_H-M 'C 1 2/m 1'
_symmetry_Int_Tables_number 12
loop_
_symmetry_equiv_pos_as_xyz
'x,y,z'
'-x,-y,-z'
'-x,y,-z'
'x,-y,z'
'x+1/2,y+1/2,z'
'-x+1/2,-y+1/2,-z'
'-x+1/2,y+1/2,-z'
'x+1/2,-y+1/2,z'
loop_
_atom_site_label
_atom_site_type_symbol
_atom_site_fract_x
_atom_site_fract_y
_atom_site_fract_z
_atom_site_occupancy
Ho1 Ho 0.0817 0.0000 0.3755 1
Ho2 Ho 0.0962 0.2448 0.8564 1
Ho3 Ho 0.2061 0.5000 0.3763 1
Cd1 Cd 0.0000 0.5000 0.5000 1
Te1 Te 0.2388 0.0000 0.1308 1



(9)
# Ho4CdTe3, optimized geometry, DFT PBE
# Energy relative to the elements, uncorrected (kJ/mol of formula units): -767
# Calculated density (g/cm3): 8.29
data_Ho4CdTe3
_chemical_formula_sum 'Ho8 Cd2 Te6'
_cell_length_a 8.9584
_cell_length_b 12.2945
_cell_length_c 4.2020
_cell_angle_alpha 90.00
_cell_angle_beta 90.00
_cell_angle_gamma 90.00
_symmetry_space_group_name_H-M 'C m m m'
_symmetry_Int_Tables_number 65
_symmetry_space_group_name_Hall '-C 2 2'
loop_
_atom_site_label
_atom_site_type_symbol
_atom_site_fract_x
_atom_site_fract_y
_atom_site_fract_z
_atom_site_occupancy
Ho1 Ho 0.0000 0.2433 0.0000 1
Ho2 Ho 0.2413 0.0000 0.5000 1
Cd1 Cd 0.0000 0.0000 0.0000 1
Te1 Te 0.0000 0.5000 0.0000 1
Te2 Te 0.2500 0.2500 0.5000 1



(10)
# Ho3Tl4CdTe8, optimized geometry, DFT PBE
# Energy relative to the elements, uncorrected (kJ/mol of formula units): -1276
# Calculated density (g/cm3): 7.44
data_Ho3Tl4CdTe8
_chemical_formula_sum 'Ho9 Tl12 Cd3 Te24'
_cell_length_a 8.8966
_cell_length_b 8.8966
_cell_length_c 23.9016
_cell_angle_alpha 90.00
_cell_angle_beta 90.00
_cell_angle_gamma 120.00
_symmetry_space_group_name_H-M 'R -3 m'
_symmetry_Int_Tables_number 166
_symmetry_space_group_name_Hall '-R 3 2"'
loop_
_atom_site_label
_atom_site_type_symbol
_atom_site_fract_x
_atom_site_fract_y
_atom_site_fract_z
_atom_site_occupancy
Ho1 Ho 0.0000 0.5000 0.0000 1
Tl1 Tl 0.0000 0.0000 0.5000 1
Tl2 Tl 0.0000 0.5000 0.5000 1
Cd1 Cd 0.0000 0.0000 0.0000 1
Te1 Te 0.0000 0.0000 0.2614 1
Te2 Te 0.0007 0.5004 0.2618 1



(11)
# Ho3Tl3CdTe8, optimized geometry, DFT PBE
# Energy relative to the elements, uncorrected (kJ/mol of formula units): -1144
# Calculated density (g/cm3): 6.90
data_Ho3Tl3CdTe8
_chemical_formula_sum 'Ho6 Tl6 Cd2 Te16'
_cell_length_a 15.1010
_cell_length_b 8.7156
_cell_length_c 9.6183
_cell_angle_alpha 90.00
_cell_angle_beta 121.56
_cell_angle_gamma 90.00
_symmetry_space_group_name_H-M 'C 1 2/m 1'
_symmetry_Int_Tables_number 12
loop_
_symmetry_equiv_pos_as_xyz
'x,y,z'
'-x,-y,-z'
'-x,y,-z'
'x,-y,z'
'x+1/2,y+1/2,z'
'-x+1/2,-y+1/2,-z'
'-x+1/2,y+1/2,-z'
'x+1/2,-y+1/2,z'
loop_
_atom_site_label
_atom_site_type_symbol
_atom_site_fract_x
_atom_site_fract_y
_atom_site_fract_z
_atom_site_occupancy
Ho1 Ho 0.0000 0.0000 0.0000 1
Ho2 Ho 0.2500 0.2500 0.0000 1
Tl1 Tl 0.0000 0.5000 0.5000 1
Tl2 Tl 0.2500 0.2500 0.5000 1
Cd1 Cd 0.0000 0.5000 0.0000 1
Te1 Te 0.0128 0.2477 0.7864 1
Te2 Te 0.2385 0.5000 0.2130 1
Te3 Te 0.2388 0.0000 0.2161 1



no.,V (Å³/cell),uncorrected energy (eV per atom)
1,276.99,-5.3158
2,244.08,-4.5653
3,384.06,-5.8715
4,353.04,-5.2035
5,588.71,-3.6401
6,1302.25,-4.3895
7,981.45,-4.2237
8,650.65,-4.3594
9,462.81,-4.5753
10,1638.35,-3.9048
11,1078.69,-3.9156